Entry 1:
Below is a relaxed Tb3ZrCo8 crystal, with properties calculated at the PBE level.

Cell: 8.719 8.719 8.719 Å, 33.53 33.53 33.53°
Fractional positions:
Tb: 0.000 0.000 0.000
Tb: 0.125 0.125 0.125
Tb: 0.625 0.625 0.625
Zr: 0.501 0.501 0.501
Co: 0.062 0.062 0.558
Co: 0.062 0.558 0.062
Co: 0.069 0.563 0.563
Co: 0.313 0.313 0.313
Co: 0.558 0.062 0.062
Co: 0.563 0.069 0.563
Co: 0.563 0.563 0.069
Co: 0.813 0.813 0.813

## Properties
**Space-group type**: R3m
**Energy of formation**: -197 meV per atom
**N(E_F)**: 15.36 states/eV per cell

Entry 2:
Below is a relaxed Sc5Al3 crystal, with properties calculated at the PBE level.

Cell: 4.383 4.383 17.143 Å, 90.00 90.00 90.00°
Fractional positions:
Sc: 0.000 0.000 0.000
Sc: 0.000 0.500 0.133
Sc: 0.000 0.500 0.367
Sc: 0.000 0.500 0.633
Sc: 0.000 0.500 0.867
Sc: 0.500 0.000 0.133
Sc: 0.500 0.000 0.367
Sc: 0.500 0.000 0.633
Sc: 0.500 0.000 0.867
Sc: 0.500 0.500 0.500
Al: 0.000 0.000 0.251
Al: 0.000 0.000 0.500
Al: 0.000 0.000 0.749
Al: 0.500 0.500 0.000
Al: 0.500 0.500 0.249
Al: 0.500 0.500 0.751

## Properties
**Space-group type**: I4/mmm
**Energy above the lowest structure with this stoichiometry**: 0.007 eV/atom
**Energy of formation**: -337 meV per atom
**N(E_F)**: 17.79 states/eV per cell

Entry 3:
Below is a relaxed CrSbPd6 crystal, with properties calculated at the PBE level.

Cell: 5.108 5.115 5.123 Å, 93.62 93.66 93.54°
Fractional positions:
Cr: 0.000 0.000 0.000
Sb: 0.500 0.500 0.500
Pd: 0.053 0.441 0.752
Pd: 0.248 0.946 0.560
Pd: 0.441 0.752 0.054
Pd: 0.559 0.248 0.946
Pd: 0.752 0.054 0.440
Pd: 0.947 0.559 0.248

## Properties
**Space-group type**: P-1
**Energy above the lowest structure with this stoichiometry**: 0.117 eV/atom
**Energy relative to the elements, uncorrected**: -0.11 eV per atom
**N(E_F)**: 6.76 states/eV per cell

Entry 4:
Below is a relaxed Cs2HgIrO6 crystal, with properties calculated at the PBE level.

Cell: 6.155 6.155 6.155 Å, 60.00 60.00 60.00°
Fractional positions:
Cs: 0.250 0.250 0.250
Cs: 0.750 0.750 0.750
Hg: 0.000 0.000 0.000
Ir: 0.500 0.500 0.500
O: 0.281 0.281 0.719
O: 0.281 0.719 0.281
O: 0.281 0.719 0.719
O: 0.719 0.281 0.281
O: 0.719 0.281 0.719
O: 0.719 0.719 0.281

## Properties
**Space-group type**: Fm-3m
**Energy relative to the elements, uncorrected**: -0.69 eV per atom
**N(E_F)**: 5.80 states/eV per cell

Entry 5:
Below is a relaxed LaErZnPd crystal, with properties calculated at the PBE level.

Cell: 7.243 7.243 7.243 Å, 90.00 90.00 90.00°
Fractional positions:
La: 0.000 0.000 0.000
La: 0.000 0.500 0.500
La: 0.500 0.000 0.500
La: 0.500 0.500 0.000
Er: 0.000 0.000 0.500
Er: 0.000 0.500 0.000
Er: 0.500 0.000 0.000
Er: 0.500 0.500 0.500
Zn: 0.250 0.250 0.250
Zn: 0.250 0.750 0.750
Zn: 0.750 0.250 0.750
Zn: 0.750 0.750 0.250
Pd: 0.250 0.250 0.750
Pd: 0.250 0.750 0.250
Pd: 0.750 0.250 0.250
Pd: 0.750 0.750 0.750

## Properties
**Space-group type**: F-43m
**Energy above the lowest structure with this stoichiometry**: 0.019 eV/atom
**Energy of formation**: -540 meV per atom
**N(E_F)**: 13.78 states/eV per cell

Entry 6:
Below is a relaxed Pr3Ga3Co crystal, with properties calculated at the PBE level.

Cell: 6.088 6.088 14.819 Å, 106.81 106.81 39.73°
Fractional positions:
Pr: 0.024 0.024 0.389
Pr: 0.115 0.115 0.919
Pr: 0.240 0.240 0.242
Pr: 0.760 0.760 0.758
Pr: 0.885 0.885 0.081
Pr: 0.976 0.976 0.611
Ga: 0.325 0.325 0.461
Ga: 0.399 0.399 0.925
Ga: 0.467 0.467 0.764
Ga: 0.533 0.533 0.236
Ga: 0.601 0.601 0.075
Ga: 0.675 0.675 0.539
Co: 0.273 0.273 0.616
Co: 0.727 0.727 0.384

## Properties
**Space-group type**: C2/m
**Energy of formation**: -474 meV per atom
**N(E_F)**: 14.14 states/eV per cell

Entry 7:
Below is a relaxed Ca2TaW crystal, with properties calculated at the PBE level.

Cell: 2.894 5.356 5.712 Å, 90.00 100.18 90.00°
Fractional positions:
Ca: 0.004 0.000 0.253
Ca: 0.996 0.000 0.747
Ta: 0.500 0.500 0.000
W: 0.500 0.500 0.500

## Properties
**Space-group type**: P2/m
**Energy above the lowest structure with this stoichiometry**: 0.491 eV/atom
**Energy of formation**: 890 meV per atom
**N(E_F)**: 4.32 states/eV per cell

Entry 8:
Below is a relaxed La2CoAs crystal, with properties calculated at the PBE level.

Cell: 4.231 4.231 20.757 Å, 90.00 90.00 120.00°
Fractional positions:
La: 0.000 0.000 0.245
La: 0.000 0.000 0.755
La: 0.333 0.667 0.422
La: 0.333 0.667 0.912
La: 0.667 0.333 0.088
La: 0.667 0.333 0.578
Co: 0.000 0.000 0.500
Co: 0.333 0.667 0.167
Co: 0.667 0.333 0.833
As: 0.000 0.000 0.000
As: 0.333 0.667 0.667
As: 0.667 0.333 0.333

## Properties
**Space-group type**: R-3m
**Energy of formation**: -591 meV per atom
**N(E_F)**: 15.99 states/eV per cell

Number 1: DFT total energy -6.805 eV per atom. Number 2: DFT total energy -5.697 eV per atom. Number 3: DFT total energy -5.727 eV per atom. Number 4: DFT total energy -4.753 eV per atom. Number 5: DFT total energy -4.530 eV per atom. Number 6: DFT total energy -4.835 eV per atom. Number 7: DFT total energy -6.312 eV per atom. Number 8: DFT total energy -5.993 eV per atom.